Compound: ZrCuTe2
Source: Alexandria via LeMat-Bulk
Functional: GGA-PBE
Structure: relaxed

a = 6.309 Å, b = 6.309 Å, c = 3.944 Å
α = 89.99°, β = 89.99°, γ = 35.79°
Positions (direct):
Te 0.963 0.963 0.875
Te 0.242 0.242 0.375
Cu 0.736 0.736 0.875
Zr 0.559 0.559 0.375

For the energy relative to the elements, uncorrected, the calculation gives -2.33 eV/f.u. The calculation puts the spin magnetization at 0.00 μB/f.u. For the theoretical density, the calculation gives 7.415 Mg/m³. As for the space-group type: No. 38. For the total energy, the calculation gives -0.3906 Ry/atom.